[1]
The following is a DFT calculation (PBE) of a relaxed structure of Cd2Cu2Si.

a b c (Å): 6.286 6.286 4.261
angles (deg): 90.00 90.00 90.00
Element x y z (fractional)
Si 0.000 0.000 0.000
Si 0.500 0.500 0.000
Cu 0.353 0.853 0.000
Cu 0.853 0.647 0.000
Cu 0.647 0.147 0.000
Cu 0.147 0.353 0.000
Cd 0.163 0.663 0.500
Cd 0.663 0.837 0.500
Cd 0.837 0.337 0.500
Cd 0.337 0.163 0.500

Summary:
Relative energy among the computed polymorphs ... 0.00 eV/f.u.


[2]
The following is a DFT calculation (PBE) of a relaxed structure of CdCu2Si.

a b c (Å): 8.632 8.632 8.632
angles (deg): 18.94 18.94 18.94
Element x y z (fractional)
Cd 0.750 0.750 0.750
Cu 0.990 0.990 0.990
Cu 0.510 0.510 0.510
Si 0.250 0.250 0.250

Summary:
Relative energy among the computed polymorphs ... 0.00 eV/f.u.


[3]
The following is a DFT calculation (PBE) of a relaxed structure of Cd2CuSi.

a b c (Å): 2.988 2.988 8.176
angles (deg): 90.00 90.00 89.99
Element x y z (fractional)
Cd 0.000 0.000 0.985
Cd 0.500 0.500 0.288
Cu 0.000 0.000 0.530
Si 0.500 0.500 0.697


[4]
The following is a DFT calculation (PBE) of a relaxed structure of CdCuSi.

a b c (Å): 4.486 4.520 5.991
angles (deg): 110.34 110.27 93.46
Element x y z (fractional)
Si 0.724 0.095 0.085
Si 0.704 0.105 0.615
Cu 0.746 0.660 0.731
Cu 0.299 0.139 0.243
Cd 0.327 0.494 0.941
Cd 0.088 0.712 0.430

Summary:
Relative energy among the computed polymorphs ... 0.09 eV/f.u.


[5]
The following is a DFT calculation (PBE) of a relaxed structure of Cd2CuSi.

a b c (Å): 6.532 6.532 6.532
angles (deg): 155.13 139.12 48.44
Element x y z (fractional)
Cd 0.010 0.010 0.000
Cd 0.698 0.198 0.500
Cu 0.480 0.480 0.000
Si 0.311 0.811 0.500


[6]
The following is a DFT calculation (PBE) of a relaxed structure of CdCuSi2.

a b c (Å): 5.937 5.937 5.937
angles (deg): 154.14 132.92 54.49
Element x y z (fractional)
Cd 0.750 0.250 0.500
Cu 0.250 0.750 0.500
Si 0.042 0.042 0.000
Si 0.458 0.458 0.000


Number 1: E_form (uncorrected) 0.7 eV per formula unit. Number 2: E_form (uncorrected) 0.3 eV per formula unit. Number 3: E_form (uncorrected) 0.8 eV per formula unit. Number 4: E_form (uncorrected) 0.5 eV per formula unit. Number 5: E_form (uncorrected) 0.8 eV per formula unit. Number 6: E_form (uncorrected) 1.2 eV per formula unit.